No. 1
First-principles (PBE-GGA) data for a relaxed ZnIrCl2 crystal, as listed in the Alexandria database.

Lattice parameters (Å, degrees): 3.0074 4.0864 5.6314 90.00 90.00 90.00
With the nearest neighbours (Å) after each atom.
Space group Pmmm (No. 47)
Asymmetric unit:
Zn1 0.0000 0.0000 0.0000 x1  4 Cl 2.54
Ir1 0.5000 0.0000 0.5000 x1  4 Cl 2.54
Cl1 0.0000 0.5000 0.5000 x1  4 Ir 2.54
Cl2 0.5000 0.5000 0.0000 x1  4 Zn 2.54

## Properties
The polymorph energy (0 for the lowest one) is 590 meV/atom. As for the formation energy without anion corrections: 380 meV per atom. The electronic total energy is -3.077 eV/atom. As for the size of the total moment: 0.000 μB/cell.

***

No. 2
First-principles (PBE-GGA) data for a relaxed YErFe10 crystal, as listed in the Alexandria database.

Lattice parameters (Å, degrees): 3.9440 4.9925 8.6135 90.00 90.00 90.00
With the nearest neighbours (Å) after each atom.
Space group Pmmm (No. 47)
Asymmetric unit:
Y1 0.0000 0.0000 0.0000 x1  18 Fe 2.88-3.18
Er1 0.0000 0.5000 0.5000 x1  18 Fe 2.86-3.18
Fe1 0.0000 0.0000 0.3351 x2  6 Fe 2.43-2.44
Fe2 0.0000 0.5000 0.1679 x2  6 Fe 2.44-2.45
Fe3 0.5000 0.0000 0.5000 x1  8 Fe 2.43-2.48
Fe4 0.5000 0.2507 0.2514 x4  8 Fe 2.44-2.50
Fe5 0.5000 0.5000 0.0000 x1  8 Fe 2.45-2.50

## Properties
As for the energy of formation: -0.054 eV/atom. The electronic total energy is -8.026 eV/atom. As for the size of the total moment: 19.346 μB/cell.

***

No. 3
First-principles (PBE-GGA) data for a relaxed CaCe2Sn2Hg2 crystal, as listed in the Alexandria database.

Lattice parameters (Å, degrees): 4.9178 4.9178 28.1887 90.00 90.00 120.00
With the nearest neighbours (Å) after each atom.
Space group R-3m (No. 166, hexagonal axes)
Asymmetric unit:
Ca1 0.0000 0.0000 0.0000 x3  6 Sn 3.38
Ce1 0.0000 0.0000 0.1440 x6  3 Ce 3.11, 3 Hg 3.13
Sn1 0.0000 0.0000 0.2684 x6  3 Hg 2.98
Hg1 0.0000 0.0000 0.4304 x6  3 Sn 2.98, 3 Ce 3.13

## Properties
As for the energy of formation: -0.292 eV/atom. The electronic total energy is -3.504 eV/atom. As for the size of the total moment: 9.453 μB/cell.

***

No. 4
First-principles (PBE-GGA) data for a relaxed Y3Ho6Th2Sc crystal, as listed in the Alexandria database.

Lattice parameters (Å, degrees): 6.0971 10.5585 11.7224 90.00 100.01 90.00
With the nearest neighbours (Å) after each atom.
Space group C2/m (No. 12)
Asymmetric unit:
Y1 0.0000 0.0000 0.0000 x2  6 Y 3.52, 6 Ho 3.57
Y2 0.0000 0.3337 0.0000 x4  6 Y 3.51-3.52, 6 Ho 3.57-3.58
Ho1 0.2484 0.0000 0.7458 x4  2 Th 3.49, 1 Sc 3.49, 6 Ho 3.52, 3 Y 3.57
Ho2 0.2481 0.3336 0.7455 x8  1 Sc 3.49, 2 Th 3.49, 6 Ho 3.51-3.52, 3 Y 3.57-3.58
Th1 0.0000 0.1665 0.5000 x4  6 Ho 3.49, 3 Th 3.52, 3 Sc 3.52
Sc1 0.0000 0.5000 0.5000 x2  6 Ho 3.49, 6 Th 3.52

## Properties
As for the energy of formation: 0.029 eV/atom. The electronic total energy is -5.641 eV/atom. As for the size of the total moment: 0.000 μB/cell.

***

No. 5
First-principles (PBE-GGA) data for a relaxed LiInPb3 crystal, as listed in the Alexandria database.

Lattice parameters (Å, degrees): 5.2546 5.2546 5.2546 90.00 90.00 90.00
With the nearest neighbours (Å) after each atom.
Space group Pm-3m (No. 221)
Asymmetric unit:
Li1 0.0000 0.0000 0.0000 x1  6 Pb 2.63
In1 0.5000 0.5000 0.5000 x1  12 Pb 3.72
Pb1 0.0000 0.0000 0.5000 x3  2 Li 2.63

## Properties
The polymorph energy (0 for the lowest one) is 185 meV/atom. As for the energy of formation: 0.118 eV/atom. The electronic total energy is -3.038 eV/atom. As for the size of the total moment: 0.000 μB/cell.

***

No. 6
First-principles (PBE-GGA) data for a relaxed IrC crystal, as listed in the Alexandria database.

Lattice parameters (Å, degrees): 8.2848 8.2848 2.8206 90.00 90.00 120.00
With the nearest neighbours (Å) after each atom.
Space group P6_3/m (No. 176)
Asymmetric unit:
Ir1 0.1250 0.6708 0.2500 x6  3 C 1.95-2.00
C1 0.0631 0.3691 0.2500 x6  3 Ir 1.95-2.00

## Properties
The polymorph energy (0 for the lowest one) is 318 meV/atom. As for the energy of formation: 0.776 eV/atom. The electronic total energy is -8.267 eV/atom. As for the size of the total moment: 0.000 μB/cell.